# 1
# SbRhC2 PBE-GGA optimized geometry
# Total DFT energy (no corrections) ... -6.4061 eV/atom
data_SbRhC2
_space_group_name_H-M_alt 'P 1'
_space_group_IT_number 1
_cell_length_a 5.914
_cell_length_b 5.914
_cell_length_c 5.914
_cell_angle_alpha 130.38
_cell_angle_beta 130.38
_cell_angle_gamma 72.81
loop_
_space_group_symop_operation_xyz
'x,y,z'
loop_
_atom_site_label
_atom_site_fract_x
_atom_site_fract_y
_atom_site_fract_z
Sb1 0.000 0.000 0.000
Sb2 0.750 0.250 0.500
Rh1 0.250 0.750 0.500
Rh2 0.500 0.500 0.000
C1 0.156 0.625 0.031
C2 0.375 0.406 0.531
C3 0.594 0.125 0.969
C4 0.875 0.844 0.469

---

# 2
# Pa2BiMo PBE-GGA optimized geometry
# Offset from the most stable computed form ... 0.055 eV/atom
data_Pa2BiMo
_space_group_name_H-M_alt 'P 1'
_space_group_IT_number 1
_cell_length_a 7.721
_cell_length_b 7.721
_cell_length_c 7.721
_cell_angle_alpha 31.03
_cell_angle_beta 31.03
_cell_angle_gamma 31.03
loop_
_space_group_symop_operation_xyz
'x,y,z'
loop_
_atom_site_label
_atom_site_fract_x
_atom_site_fract_y
_atom_site_fract_z
Pa1 0.234 0.234 0.234
Pa2 0.766 0.766 0.766
Bi1 0.000 0.000 0.000
Mo1 0.500 0.500 0.500

---

# 3
# Sr2CaGe PBE-GGA optimized geometry
# Total DFT energy (no corrections) ... -2.5498 eV/atom
data_Sr2CaGe
_space_group_name_H-M_alt 'P 1'
_space_group_IT_number 1
_cell_length_a 12.124
_cell_length_b 12.124
_cell_length_c 12.124
_cell_angle_alpha 19.41
_cell_angle_beta 19.41
_cell_angle_gamma 19.41
loop_
_space_group_symop_operation_xyz
'x,y,z'
loop_
_atom_site_label
_atom_site_fract_x
_atom_site_fract_y
_atom_site_fract_z
Sr1 0.109 0.109 0.109
Sr2 0.891 0.891 0.891
Ca1 0.000 0.000 0.000
Ge1 0.500 0.500 0.500

---

# 4
# Na4LaEr3Te8 PBE-GGA optimized geometry
# Total DFT energy (no corrections) ... -4.3872 eV/atom
data_Na4LaEr3Te8
_space_group_name_H-M_alt 'P 1'
_space_group_IT_number 1
_cell_length_a 9.148
_cell_length_b 9.148
_cell_length_c 9.148
_cell_angle_alpha 58.38
_cell_angle_beta 58.38
_cell_angle_gamma 58.38
loop_
_space_group_symop_operation_xyz
'x,y,z'
loop_
_atom_site_label
_atom_site_fract_x
_atom_site_fract_y
_atom_site_fract_z
Na1 0.000 0.000 0.000
Na2 0.000 0.500 0.500
Na3 0.500 0.000 0.500
Na4 0.500 0.500 0.000
La1 0.500 0.500 0.500
Er1 0.000 0.000 0.500
Er2 0.000 0.500 0.000
Er3 0.500 0.000 0.000
Te1 0.233 0.750 0.750
Te2 0.243 0.243 0.243
Te3 0.250 0.250 0.767
Te4 0.250 0.767 0.250
Te5 0.750 0.233 0.750
Te6 0.750 0.750 0.233
Te7 0.757 0.757 0.757
Te8 0.767 0.250 0.250

---

# 5
# BaAg3Cl PBE-GGA optimized geometry
# Offset from the most stable computed form ... 0.587 eV/atom
data_BaAg3Cl
_space_group_name_H-M_alt 'P 1'
_space_group_IT_number 1
_cell_length_a 6.206
_cell_length_b 6.206
_cell_length_c 6.206
_cell_angle_alpha 90.00
_cell_angle_beta 90.00
_cell_angle_gamma 90.00
loop_
_space_group_symop_operation_xyz
'x,y,z'
loop_
_atom_site_label
_atom_site_fract_x
_atom_site_fract_y
_atom_site_fract_z
Ba1 0.000 0.000 0.000
Ag1 0.000 0.000 0.500
Ag2 0.000 0.500 0.000
Ag3 0.500 0.000 0.000
Cl1 0.500 0.500 0.500

---

# 6
# Ca3Dy2PaSb6 PBE-GGA optimized geometry
# Total DFT energy (no corrections) ... -5.0371 eV/atom
data_Ca3Dy2PaSb6
_space_group_name_H-M_alt 'P 1'
_space_group_IT_number 1
_cell_length_a 7.708
_cell_length_b 7.708
_cell_length_c 7.755
_cell_angle_alpha 99.53
_cell_angle_beta 99.53
_cell_angle_gamma 120.02
loop_
_space_group_symop_operation_xyz
'x,y,z'
loop_
_atom_site_label
_atom_site_fract_x
_atom_site_fract_y
_atom_site_fract_z
Ca1 0.000 0.000 0.000
Ca2 0.331 0.669 0.000
Ca3 0.669 0.331 0.000
Dy1 0.166 0.834 0.500
Dy2 0.834 0.166 0.500
Pa1 0.500 0.500 0.500
Sb1 0.093 0.422 0.264
Sb2 0.251 0.251 0.737
Sb3 0.422 0.093 0.264
Sb4 0.578 0.907 0.736
Sb5 0.749 0.749 0.263
Sb6 0.907 0.578 0.736

---

# 7
# La6MgSn PBE-GGA optimized geometry
# Total DFT energy (no corrections) ... -4.6488 eV/atom
data_La6MgSn
_space_group_name_H-M_alt 'P 1'
_space_group_IT_number 1
_cell_length_a 5.089
_cell_length_b 5.089
_cell_length_c 10.087
_cell_angle_alpha 90.00
_cell_angle_beta 90.00
_cell_angle_gamma 90.00
loop_
_space_group_symop_operation_xyz
'x,y,z'
loop_
_atom_site_label
_atom_site_fract_x
_atom_site_fract_y
_atom_site_fract_z
La1 0.000 0.000 0.000
La2 0.000 0.000 0.500
La3 0.000 0.500 0.245
La4 0.000 0.500 0.755
La5 0.500 0.000 0.245
La6 0.500 0.000 0.755
Mg1 0.500 0.500 0.500
Sn1 0.500 0.500 0.000

---

# 8
# La2CePaRu2 PBE-GGA optimized geometry
# Total DFT energy (no corrections) ... -7.6072 eV/atom
data_La2CePaRu2
_space_group_name_H-M_alt 'P 1'
_space_group_IT_number 1
_cell_length_a 8.212
_cell_length_b 8.212
_cell_length_c 8.212
_cell_angle_alpha 128.59
_cell_angle_beta 75.22
_cell_angle_gamma 129.15
loop_
_space_group_symop_operation_xyz
'x,y,z'
loop_
_atom_site_label
_atom_site_fract_x
_atom_site_fract_y
_atom_site_fract_z
La1 0.191 0.241 0.432
La2 0.309 0.741 0.051
La3 0.691 0.259 0.949
La4 0.809 0.759 0.568
Ce1 0.250 0.750 0.500
Ce2 0.750 0.250 0.500
Pa1 0.250 0.250 0.000
Pa2 0.750 0.750 0.000
Ru1 0.082 0.768 0.850
Ru2 0.418 0.268 0.686
Ru3 0.582 0.732 0.314
Ru4 0.918 0.232 0.150